a | # NiB3Rh (PBE, optimized geometry)
data_NiB3Rh
_cell_length_a 3.721
_cell_length_b 3.721
_cell_length_c 3.721
_cell_angle_alpha 90.00
_cell_angle_beta 90.00
_cell_angle_gamma 90.00
_space_group_name_H-M_alt 'P m -3 m'
_space_group_IT_number 221
_space_group_name_Hall '-P 4 2 3'
loop_
_atom_site_label
_atom_site_fract_x
_atom_site_fract_y
_atom_site_fract_z
Ni1 0.000 0.000 0.000
B1 0.000 0.000 0.500
Rh1 0.500 0.500 0.500
# - DOS(E_F) (states/eV/f.u.) = 2.373
# - magnetic moment (μB per cell) = 0.00
# - crystal system = cubic

b | # NiB3Rh (PBE, optimized geometry)
data_NiB3Rh
_cell_length_a 3.985
_cell_length_b 3.985
_cell_length_c 3.985
_cell_angle_alpha 90.00
_cell_angle_beta 90.00
_cell_angle_gamma 90.00
_space_group_name_H-M_alt 'P m -3 m'
_space_group_IT_number 221
_space_group_name_Hall '-P 4 2 3'
loop_
_atom_site_label
_atom_site_fract_x
_atom_site_fract_y
_atom_site_fract_z
Ni1 0.000 0.000 0.000
B1 0.000 0.500 0.500
Rh1 0.500 0.500 0.500
# - DOS(E_F) (states/eV/f.u.) = 4.258
# - magnetic moment (μB per cell) = 0.00
# - crystal system = cubic

Energy above the most stable structure, in kJ/mol of atoms: a 0.0; b 26.4

a | # NiBSbRh2 (PBE, optimized geometry)
data_NiBSbRh2
_cell_length_a 4.878
_cell_length_b 4.878
_cell_length_c 4.198
_cell_angle_alpha 90.00
_cell_angle_beta 90.00
_cell_angle_gamma 90.00
_space_group_name_H-M_alt 'P 4/m m m'
_space_group_IT_number 123
_space_group_name_Hall '-P 4 2'
loop_
_atom_site_label
_atom_site_fract_x
_atom_site_fract_y
_atom_site_fract_z
Ni1 0.000 0.000 0.000
B1 0.500 0.500 0.000
Sb1 0.500 0.500 0.500
Rh1 0.000 0.500 0.500
# - DOS(E_F) (states/eV/f.u.) = 10.740
# - magnetic moment (μB per cell) = 1.34
# - crystal system = tetragonal

b | # NiBSbRh2 (PBE, optimized geometry)
data_NiBSbRh2
_cell_length_a 4.187
_cell_length_b 4.187
_cell_length_c 3.957
_cell_angle_alpha 90.00
_cell_angle_beta 90.00
_cell_angle_gamma 90.00
_space_group_name_H-M_alt 'P 4/m m m'
_space_group_IT_number 123
_space_group_name_Hall '-P 4 2'
loop_
_atom_site_label
_atom_site_fract_x
_atom_site_fract_y
_atom_site_fract_z
Ni1 0.000 0.000 0.000
B1 0.000 0.000 0.500
Sb1 0.500 0.500 0.000
Rh1 0.000 0.500 0.500
# - DOS(E_F) (states/eV/f.u.) = 6.298
# - magnetic moment (μB per cell) = 0.00
# - crystal system = tetragonal

Energy above the most stable structure, in kJ/mol of atoms: a 174.8; b 0.0

a | # NiBRu3 (PBE, optimized geometry)
data_NiBRu3
_cell_length_a 4.015
_cell_length_b 4.015
_cell_length_c 4.015
_cell_angle_alpha 90.00
_cell_angle_beta 90.00
_cell_angle_gamma 90.00
_space_group_name_H-M_alt 'P m -3 m'
_space_group_IT_number 221
_space_group_name_Hall '-P 4 2 3'
loop_
_atom_site_label
_atom_site_fract_x
_atom_site_fract_y
_atom_site_fract_z
Ni1 0.000 0.000 0.000
B1 0.500 0.500 0.500
Ru1 0.000 0.500 0.500
# - DOS(E_F) (states/eV/f.u.) = 7.929
# - magnetic moment (μB per cell) = 0.00
# - crystal system = cubic

b | # NiBRu3 (PBE, optimized geometry)
data_NiBRu3
_cell_length_a 4.409
_cell_length_b 4.409
_cell_length_c 4.409
_cell_angle_alpha 90.00
_cell_angle_beta 90.00
_cell_angle_gamma 90.00
_space_group_name_H-M_alt 'P m -3 m'
_space_group_IT_number 221
_space_group_name_Hall '-P 4 2 3'
loop_
_atom_site_label
_atom_site_fract_x
_atom_site_fract_y
_atom_site_fract_z
Ni1 0.000 0.000 0.000
B1 0.500 0.500 0.500
Ru1 0.000 0.000 0.500
# - DOS(E_F) (states/eV/f.u.) = 4.848
# - magnetic moment (μB per cell) = 5.33
# - crystal system = cubic

Energy above the most stable structure, in kJ/mol of atoms: a 0.0; b 184.2

a | # NiB2Ru2 (PBE, optimized geometry)
data_NiB2Ru2
_cell_length_a 5.409
_cell_length_b 5.409
_cell_length_c 3.377
_cell_angle_alpha 90.00
_cell_angle_beta 90.00
_cell_angle_gamma 90.00
_space_group_name_H-M_alt 'P 4/m b m'
_space_group_IT_number 127
_space_group_name_Hall '-P 4 2ab'
loop_
_atom_site_label
_atom_site_fract_x
_atom_site_fract_y
_atom_site_fract_z
Ni1 0.000 0.000 0.000
B1 0.121 0.379 0.000
Ru1 0.175 0.675 0.500
# - DOS(E_F) (states/eV/f.u.) = 2.342
# - magnetic moment (μB per cell) = 0.00
# - crystal system = tetragonal

b | # NiB2Ru2 (PBE, optimized geometry)
data_NiB2Ru2
_cell_length_a 4.188
_cell_length_b 4.188
_cell_length_c 6.071
_cell_angle_alpha 90.00
_cell_angle_beta 90.00
_cell_angle_gamma 90.00
_space_group_name_H-M_alt 'I 4/m m m'
_space_group_IT_number 139
_space_group_name_Hall '-I 4 2'
loop_
_atom_site_label
_atom_site_fract_x
_atom_site_fract_y
_atom_site_fract_z
Ni1 0.000 0.000 0.000
B1 0.000 0.000 0.351
Ru1 0.000 0.500 0.250
# - DOS(E_F) (states/eV/f.u.) = 4.927
# - magnetic moment (μB per cell) = 0.00
# - crystal system = tetragonal

Energy above the most stable structure, in kJ/mol of atoms: a 0.0; b 34.2

a | # NiB3Ru (PBE, optimized geometry)
data_NiB3Ru
_cell_length_a 3.979
_cell_length_b 3.979
_cell_length_c 3.979
_cell_angle_alpha 90.00
_cell_angle_beta 90.00
_cell_angle_gamma 90.00
_space_group_name_H-M_alt 'P m -3 m'
_space_group_IT_number 221
_space_group_name_Hall '-P 4 2 3'
loop_
_atom_site_label
_atom_site_fract_x
_atom_site_fract_y
_atom_site_fract_z
Ni1 0.000 0.000 0.000
B1 0.000 0.500 0.500
Ru1 0.500 0.500 0.500
# - DOS(E_F) (states/eV/f.u.) = 2.582
# - magnetic moment (μB per cell) = 0.00
# - crystal system = cubic

b | # NiB3Ru (PBE, optimized geometry)
data_NiB3Ru
_cell_length_a 3.691
_cell_length_b 3.691
_cell_length_c 3.691
_cell_angle_alpha 90.00
_cell_angle_beta 90.00
_cell_angle_gamma 90.00
_space_group_name_H-M_alt 'P m -3 m'
_space_group_IT_number 221
_space_group_name_Hall '-P 4 2 3'
loop_
_atom_site_label
_atom_site_fract_x
_atom_site_fract_y
_atom_site_fract_z
Ni1 0.000 0.000 0.000
B1 0.000 0.000 0.500
Ru1 0.500 0.500 0.500
# - DOS(E_F) (states/eV/f.u.) = 4.668
# - magnetic moment (μB per cell) = 0.00
# - crystal system = cubic

Energy above the most stable structure, in kJ/mol of atoms: a 7.5; b 0.0

a | # ScNi2BRu (PBE, optimized geometry)
data_ScNi2BRu
_cell_length_a 3.908
_cell_length_b 3.908
_cell_length_c 4.108
_cell_angle_alpha 90.00
_cell_angle_beta 90.00
_cell_angle_gamma 90.00
_space_group_name_H-M_alt 'P 4/m m m'
_space_group_IT_number 123
_space_group_name_Hall '-P 4 2'
loop_
_atom_site_label
_atom_site_fract_x
_atom_site_fract_y
_atom_site_fract_z
Sc1 0.000 0.000 0.000
Ni1 0.000 0.500 0.500
B1 0.500 0.500 0.500
Ru1 0.500 0.500 0.000
# - DOS(E_F) (states/eV/f.u.) = 0.801
# - magnetic moment (μB per cell) = 0.00
# - crystal system = tetragonal

b | # ScNi2BRu (PBE, optimized geometry)
data_ScNi2BRu
_cell_length_a 4.291
_cell_length_b 4.291
_cell_length_c 4.215
_cell_angle_alpha 90.00
_cell_angle_beta 90.00
_cell_angle_gamma 90.00
_space_group_name_H-M_alt 'P 4/m m m'
_space_group_IT_number 123
_space_group_name_Hall '-P 4 2'
loop_
_atom_site_label
_atom_site_fract_x
_atom_site_fract_y
_atom_site_fract_z
Sc1 0.000 0.000 0.000
Ni1 0.000 0.500 0.000
B1 0.000 0.000 0.500
Ru1 0.500 0.500 0.500
# - DOS(E_F) (states/eV/f.u.) = 4.655
# - magnetic moment (μB per cell) = 1.67
# - crystal system = tetragonal

Energy above the most stable structure, in kJ/mol of atoms: a 0.0; b 206.7